A relaxed structure of Fe2MoPb, computed with GGA-PBE.

Properties
Calculated formation energy (eV/f.u.): 3.7
Crystal system: tetragonal
Symmetry: I-42d (122)

Cell lengths 6.8916, 6.8916, 5.6322 Å; angles 52.28, 52.28, 90.00 degrees
Atoms (fractional coordinates):
Pb: 0.0000 0.0000 0.0000
Pb: 0.7500 0.2500 0.5000
Fe: 0.3750 0.4274 0.7500
Fe: 0.1774 0.6250 0.2500
Fe: 0.5726 0.1250 0.2500
Fe: 0.8750 0.8226 0.7500
Mo: 0.2500 0.7500 0.5000
Mo: 0.5000 0.5000 0.0000

=====

A relaxed structure of FeMo2Pb, computed with GGA-PBE.

Properties
Calculated formation energy (eV/f.u.): 2.8
Crystal system: orthorhombic
Symmetry: Cmmm (65)

Cell lengths 4.8734, 4.8734, 3.0797 Å; angles 90.00, 90.00, 112.26 degrees
Each line ends with the local moment (μB).
Atoms (fractional coordinates):
Fe: 0.0000 0.5000 0.5000  2.44
Mo: 0.5000 0.5000 0.0000  -0.04
Mo: 0.0000 0.0000 0.0000  -0.04
Pb: 0.5000 0.0000 0.5000  -0.01

=====

A relaxed structure of FeMo2Pb, computed with GGA-PBE.

Properties
Calculated formation energy (eV/f.u.): 2.9
Crystal system: trigonal
Symmetry: R-3m (166)

Cell lengths 9.2028, 9.2028, 9.2028 Å; angles 18.63, 18.63, 18.63 degrees
Each line ends with the local moment (μB).
Atoms (fractional coordinates):
Fe: 0.7500 0.7500 0.7500  2.11
Mo: 0.4885 0.4885 0.4885  -0.32
Mo: 0.0115 0.0115 0.0115  -0.32
Pb: 0.2500 0.2500 0.2500  -0.01

=====

A relaxed structure of RbFe2MoPb, computed with GGA-PBE.

Properties
Calculated formation energy (eV/f.u.): 8.5
Crystal system: tetragonal
Symmetry: P4/mmm (123)

Cell lengths 4.5692, 5.6175, 4.5692 Å; angles 90.00, 90.00, 90.00 degrees
Atoms (fractional coordinates):
Pb: 0.5000 0.5000 0.5000
Fe: 0.5000 0.0000 0.0000
Fe: 0.0000 0.0000 0.5000
Rb: 0.0000 0.5000 0.0000
Mo: 0.0000 0.0000 0.0000

=====

Number 1: DFT total energy -6.9481 eV per atom, spin magnetization 0.00 μB per cell. Number 2: DFT total energy -7.7558 eV per atom, spin magnetization 2.33 μB per cell. Number 3: DFT total energy -7.7298 eV per atom, spin magnetization 1.39 μB per cell. Number 4: DFT total energy -4.7857 eV per atom, spin magnetization 0.00 μB per cell.